Entry 1:
# Li4MnFe3B4O12

Crystalline Li4MnFe3B4O12 at its relaxed geometry (GGA+U, Alexandria).

Cell and atoms, written as CIF:
```
data_Li4MnFe3B4O12
_cell_length_a 5.232
_cell_length_b 6.158
_cell_length_c 8.992
_cell_angle_alpha 73.20
_cell_angle_beta 88.57
_cell_angle_gamma 65.11
_space_group_name_H-M_alt 'P 1'
_space_group_IT_number 1
loop_
_space_group_symop_operation_xyz
'x,y,z'
loop_
_atom_site_label
_atom_site_type_symbol
_atom_site_fract_x
_atom_site_fract_y
_atom_site_fract_z
Li1 Li 0.000 0.000 0.000
Li2 Li 0.133 0.357 0.268
Li3 Li 0.496 0.007 0.502
Li4 Li 0.635 0.352 0.767
Mn1 Mn 0.526 0.913 0.186
Fe1 Fe 0.034 0.914 0.682
Fe2 Fe 0.096 0.444 0.586
Fe3 Fe 0.601 0.438 0.084
B1 B 0.010 0.941 0.349
B2 B 0.119 0.420 0.918
B3 B 0.513 0.935 0.847
B4 B 0.620 0.416 0.420
O1 O 0.226 0.505 0.779
O2 O 0.251 0.978 0.359
O3 O 0.269 0.363 0.062
O4 O 0.360 0.995 0.705
O5 O 0.376 0.384 0.416
O6 O 0.410 0.848 0.986
O7 O 0.726 0.500 0.281
O8 O 0.755 0.973 0.851
O9 O 0.772 0.359 0.563
O10 O 0.867 0.998 0.205
O11 O 0.880 0.380 0.913
O12 O 0.903 0.854 0.488
```

Computed properties:
- E above lowest polymorph: 0.3 kJ/mol of atoms
- Raw total energy: -7.01 eV per atom

=====

Entry 2:
# Li2YCrF8

Crystalline Li2YCrF8 at its relaxed geometry (GGA+U, Alexandria).

Cell and atoms, written as CIF:
```
data_Li2YCrF8
_cell_length_a 4.758
_cell_length_b 6.600
_cell_length_c 4.766
_cell_angle_alpha 90.00
_cell_angle_beta 90.78
_cell_angle_gamma 90.00
_space_group_name_H-M_alt 'P 1 2/m 1'
_space_group_IT_number 10
loop_
_space_group_symop_operation_xyz
'x,y,z'
'-x,-y,-z'
'-x,y,-z'
'x,-y,z'
loop_
_atom_site_label
_atom_site_type_symbol
_atom_site_fract_x
_atom_site_fract_y
_atom_site_fract_z
Li1 Li 0.000 0.232 0.000
Y1 Y 0.500 0.500 0.500
Cr1 Cr 0.500 0.000 0.500
F1 F 0.184 0.500 0.814
F2 F 0.215 0.000 0.784
F3 F 0.305 0.224 0.304
```

Computed properties:
- Raw total energy: -5.95 eV per atom